[1]
The following is a DFT calculation (GGA-PBEsol) of Mg2ZnCd after structural relaxation.

Structure (extended XYZ):
```
4
Lattice="4.7264 -1.5597 0.0000 4.7264 1.5597 0.0000 -1.1010 0.0000 5.3545" Properties=species:S:1:pos:R:3 pbc="T T T"
Mg 2.0473 0.0000 1.2819
Mg 6.3045 0.0000 4.0726
Zn 4.7264 0.0000 0.0000
Cd -0.5505 0.0000 2.6773
```

The magnetization comes out at 0.0 μB/f.u. The calculation puts the formation energy from the elements at -15 meV per atom. The value obtained for the energy relative to the lowest polymorph listed for this composition is 1.591 kcal/mol of atoms.

***

[2]
The following is a DFT calculation (GGA-PBEsol) of Mg2ZnCd after structural relaxation.

Structure (extended XYZ):
```
4
Lattice="-1.6115 2.4106 5.0086 1.6115 -2.4106 5.0086 1.6115 2.4106 -5.0086" Properties=species:S:1:pos:R:3 pbc="T T T"
Mg 0.0000 0.0000 0.0000
Mg 0.0000 2.4106 2.2276
Zn 1.6115 0.0000 2.3261
Cd 0.0000 0.0000 4.6060
```

The magnetization comes out at 0.0 μB/f.u. The calculation puts the formation energy from the elements at -38 meV per atom. The value obtained for the energy relative to the lowest polymorph listed for this composition is 1.054 kcal/mol of atoms.

***

[3]
The following is a DFT calculation (GGA-PBEsol) of MgZrCd after structural relaxation.

Structure (extended XYZ):
```
3
Lattice="0.0000 3.2859 3.2859 3.2859 0.0000 3.2859 3.2859 3.2859 0.0000" Properties=species:S:1:pos:R:3 pbc="T T T"
Mg 0.0000 0.0000 0.0000
Zr 3.2859 3.2859 3.2859
Cd 4.9289 4.9289 4.9289
```

The magnetization comes out at 0.0 μB/f.u. The calculation puts the formation energy from the elements at 238 meV per atom.